The following is a DFT calculation (PBE-GGA) of an optimized crystal structure of Sr13Mg2Si20.

a = 15.272 Å, b = 23.339 Å, c = 9.844 Å
α = 90.00°, β = 90.00°, γ = 90.00°
Positions (direct):
Sr 0.000 0.000 0.249
Sr 0.000 0.000 0.751
Sr 0.029 0.415 0.250
Sr 0.029 0.415 0.750
Sr 0.041 0.843 0.000
Sr 0.105 0.255 0.250
Sr 0.105 0.255 0.750
Sr 0.150 0.705 0.250
Sr 0.150 0.705 0.750
Sr 0.154 0.124 0.500
Sr 0.213 0.875 0.263
Sr 0.213 0.875 0.737
Sr 0.223 0.536 0.237
Sr 0.223 0.536 0.763
Sr 0.277 0.036 0.237
Sr 0.277 0.036 0.763
Sr 0.287 0.375 0.263
Sr 0.287 0.375 0.737
Sr 0.346 0.624 0.500
Sr 0.350 0.205 0.250
Sr 0.350 0.205 0.750
Sr 0.395 0.755 0.250
Sr 0.395 0.755 0.750
Sr 0.459 0.343 0.000
Sr 0.471 0.915 0.250
Sr 0.471 0.915 0.750
Sr 0.500 0.500 0.249
Sr 0.500 0.500 0.751
Sr 0.529 0.085 0.250
Sr 0.529 0.085 0.750
Sr 0.541 0.657 0.000
Sr 0.605 0.245 0.250
Sr 0.605 0.245 0.750
Sr 0.650 0.795 0.250
Sr 0.650 0.795 0.750
Sr 0.654 0.376 0.500
Sr 0.713 0.625 0.263
Sr 0.713 0.625 0.737
Sr 0.723 0.964 0.237
Sr 0.723 0.964 0.763
Sr 0.777 0.464 0.237
Sr 0.777 0.464 0.763
Sr 0.787 0.125 0.263
Sr 0.787 0.125 0.737
Sr 0.846 0.876 0.500
Sr 0.850 0.295 0.250
Sr 0.850 0.295 0.750
Sr 0.895 0.745 0.250
Sr 0.895 0.745 0.750
Sr 0.959 0.157 0.000
Sr 0.971 0.585 0.250
Sr 0.971 0.585 0.750
Mg 0.071 0.791 0.500
Mg 0.212 0.166 0.000
Mg 0.288 0.666 0.000
Mg 0.429 0.291 0.500
Mg 0.571 0.709 0.500
Mg 0.712 0.334 0.000
Mg 0.788 0.834 0.000
Mg 0.929 0.209 0.500
Si 0.006 0.686 0.000
Si 0.011 0.679 0.500
Si 0.014 0.858 0.302
Si 0.014 0.858 0.698
Si 0.053 0.913 0.500
Si 0.074 0.514 0.500
Si 0.074 0.515 0.000
Si 0.114 0.059 0.000
Si 0.119 0.614 0.000
Si 0.122 0.119 0.199
Si 0.122 0.119 0.801
Si 0.126 0.609 0.500
Si 0.141 0.346 0.500
Si 0.141 0.347 0.000
Si 0.160 0.961 0.000
Si 0.169 0.982 0.500
Si 0.184 0.444 0.000
Si 0.184 0.444 0.500
Si 0.241 0.781 0.000
Si 0.245 0.270 0.500
Si 0.255 0.770 0.500
Si 0.259 0.281 0.000
Si 0.316 0.944 0.000
Si 0.316 0.944 0.500
Si 0.331 0.482 0.500
Si 0.340 0.461 0.000
Si 0.359 0.846 0.500
Si 0.359 0.847 0.000
Si 0.374 0.109 0.500
Si 0.378 0.619 0.199
Si 0.378 0.619 0.801
Si 0.381 0.114 0.000
Si 0.386 0.559 0.000
Si 0.426 0.014 0.500
Si 0.426 0.015 0.000
Si 0.447 0.413 0.500
Si 0.486 0.358 0.302
Si 0.486 0.358 0.698
Si 0.489 0.179 0.500
Si 0.494 0.186 0.000
Si 0.506 0.814 0.000
Si 0.511 0.821 0.500
Si 0.514 0.642 0.302
Si 0.514 0.642 0.698
Si 0.553 0.587 0.500
Si 0.574 0.985 0.000
Si 0.574 0.986 0.500
Si 0.614 0.441 0.000
Si 0.619 0.886 0.000
Si 0.622 0.381 0.199
Si 0.622 0.381 0.801
Si 0.626 0.891 0.500
Si 0.641 0.153 0.000
Si 0.641 0.154 0.500
Si 0.660 0.539 0.000
Si 0.669 0.518 0.500
Si 0.684 0.056 0.000
Si 0.684 0.056 0.500
Si 0.741 0.719 0.000
Si 0.745 0.230 0.500
Si 0.755 0.730 0.500
Si 0.759 0.219 0.000
Si 0.816 0.556 0.000
Si 0.816 0.556 0.500
Si 0.831 0.018 0.500
Si 0.840 0.039 0.000
Si 0.859 0.653 0.000
Si 0.859 0.654 0.500
Si 0.874 0.391 0.500
Si 0.878 0.881 0.199
Si 0.878 0.881 0.801
Si 0.881 0.386 0.000
Si 0.886 0.941 0.000
Si 0.926 0.485 0.000
Si 0.926 0.486 0.500
Si 0.947 0.087 0.500
Si 0.986 0.142 0.302
Si 0.986 0.142 0.698
Si 0.989 0.321 0.500
Si 0.994 0.314 0.000

Properties
ΔE_f (raw) ... -0.4020 eV/atom
Total DFT energy (no corrections) ... -4.22 eV per atom